Entry 1:
This record from Alexandria describes a relaxed structure of Li2PrGa. The functional is GGA-PBEsol.

a b c (Å): 6.710 6.710 6.710
angles (deg): 90.00 90.00 90.00
Space group Fm-3m (No. 225)
One atom of each set of equivalent atoms:
Li 0.250 0.250 0.250 [8 per cell]
Pr 0.000 0.000 0.000 [4 per cell]
Ga 0.000 0.000 0.500 [4 per cell]

Output
- Total magnetic moment: 0.00 μB/atom
- Formation enthalpy at 0 K: -0.28 eV/atom


Entry 2:
This record from Alexandria describes a relaxed structure of LiPr2Ga. The functional is GGA-PBEsol.

a b c (Å): 7.368 7.368 7.368
angles (deg): 90.00 90.00 90.00
Space group Fm-3m (No. 225)
One atom of each set of equivalent atoms:
Li 0.000 0.000 0.000 [4 per cell]
Pr 0.250 0.250 0.250 [8 per cell]
Ga 0.000 0.000 0.500 [4 per cell]

Output
- Total magnetic moment: 0.00 μB/atom
- Formation enthalpy at 0 K: -0.29 eV/atom


Entry 3:
This record from Alexandria describes a relaxed structure of LiGa2Pt. The functional is GGA-PBEsol.

a b c (Å): 6.080 6.080 6.080
angles (deg): 90.00 90.00 90.00
Space group Fm-3m (No. 225)
One atom of each set of equivalent atoms:
Li 0.000 0.000 0.000 [4 per cell]
Ga 0.250 0.250 0.250 [8 per cell]
Pt 0.000 0.000 0.500 [4 per cell]

Output
- Total magnetic moment: 0.00 μB/atom
- Formation enthalpy at 0 K: -0.64 eV/atom